*P*
! Zn3Cu4Pd, optimized geometry, DFT PBE; values from VASP
&SYSTEM
  ibrav = 0, nat = 8, ntyp = 3
/
ATOMIC_SPECIES
Zn 65.41 Zn.upf
Cu 63.55 Cu.upf
Pd 106.42 Pd.upf
CELL_PARAMETERS angstrom
8.539 -1.442 0.000
8.539 1.442 0.000
-0.161 0.000 4.344
ATOMIC_POSITIONS angstrom
Zn 0.000 0.000 0.000
Zn 6.242 0.000 0.667
Zn 10.674 0.000 3.677
Cu 2.142 0.000 1.524
Cu 4.198 0.000 3.239
Cu 12.718 0.000 1.106
Cu 14.774 0.000 2.820
Pd 8.458 0.000 2.172
! space-group type	C2/m (12)
! N(E_F)	0.22	states/eV/atom
! crystal system	monoclinic

*Q*
! Zn3Cu4Pd, optimized geometry, DFT PBE; values from VASP
&SYSTEM
  ibrav = 0, nat = 16, ntyp = 3
/
ATOMIC_SPECIES
Zn 65.41 Zn.upf
Cu 63.55 Cu.upf
Pd 106.42 Pd.upf
CELL_PARAMETERS angstrom
8.673 0.000 0.000
0.000 5.395 0.000
0.000 0.000 4.524
ATOMIC_POSITIONS angstrom
Zn 0.000 0.000 0.000
Zn 2.168 0.000 1.602
Zn 2.168 2.697 1.590
Zn 4.336 0.000 0.000
Zn 6.505 0.000 2.922
Zn 6.505 2.697 2.934
Cu 0.000 1.321 2.262
Cu 0.000 4.073 2.262
Cu 2.168 1.322 3.814
Cu 2.168 4.072 3.814
Cu 4.336 1.321 2.262
Cu 4.336 4.073 2.262
Cu 6.505 1.322 0.710
Cu 6.505 4.072 0.710
Pd 0.000 2.697 0.000
Pd 4.336 2.697 0.000
! space-group type	Pmma (51)
! N(E_F)	0.37	states/eV/atom
! crystal system	orthorhombic

Of them, *Q* has the highest stability.

*P*
! ZnCu2Pd4, optimized geometry, DFT PBE; values from VASP
&SYSTEM
  ibrav = 0, nat = 14, ntyp = 3
/
ATOMIC_SPECIES
Zn 65.41 Zn.upf
Cu 63.55 Cu.upf
Pd 106.42 Pd.upf
CELL_PARAMETERS angstrom
4.864 0.000 0.000
1.027 6.464 0.000
1.102 2.461 6.425
ATOMIC_POSITIONS angstrom
Zn 0.000 0.000 0.000
Zn 3.200 3.554 2.369
Cu 1.373 1.551 1.327
Cu 3.463 6.911 5.132
Cu 3.761 2.655 4.780
Cu 5.879 6.904 5.134
Pd 0.961 4.082 1.159
Pd 1.257 2.404 3.733
Pd 2.238 4.589 5.264
Pd 2.217 6.048 2.971
Pd 3.530 5.632 0.721
Pd 3.597 2.382 0.138
Pd 3.705 1.008 2.629
Pd 4.730 4.923 3.775
! space-group type	P1 (1)
! N(E_F)	0.44	states/eV/atom
! crystal system	triclinic

*Q*
! ZnCu2Pd4, optimized geometry, DFT PBE; values from VASP
&SYSTEM
  ibrav = 0, nat = 14, ntyp = 3
/
ATOMIC_SPECIES
Zn 65.41 Zn.upf
Cu 63.55 Cu.upf
Pd 106.42 Pd.upf
CELL_PARAMETERS angstrom
-3.745 3.745 3.768
3.745 -3.745 3.768
3.745 3.745 -3.768
ATOMIC_POSITIONS angstrom
Zn 0.000 0.000 0.000
Zn 0.000 3.745 1.884
Cu 1.868 -0.944 2.831
Cu 2.801 1.877 0.937
Cu 1.877 4.689 -0.937
Cu 0.944 1.868 4.705
Pd 3.136 2.472 -1.544
Pd 5.017 0.605 0.350
Pd 0.605 2.473 -0.350
Pd 0.609 1.273 2.224
Pd 3.141 1.272 3.418
Pd 1.273 -0.609 5.312
Pd 2.472 4.354 1.544
Pd -1.272 3.141 4.118
! space-group type	I-4 (82)
! N(E_F)	0.26	states/eV/atom
! crystal system	tetragonal

Of them, *P* has the highest stability.

*P*
! Zn3CuPd2, optimized geometry, DFT PBE; values from VASP
&SYSTEM
  ibrav = 0, nat = 6, ntyp = 3
/
ATOMIC_SPECIES
Zn 65.41 Zn.upf
Cu 63.55 Cu.upf
Pd 106.42 Pd.upf
CELL_PARAMETERS angstrom
2.984 0.000 0.000
0.000 2.984 0.000
0.000 0.000 9.456
ATOMIC_POSITIONS angstrom
Zn 0.000 0.000 0.000
Zn 0.000 0.000 3.258
Zn 0.000 0.000 6.198
Cu 1.492 1.492 4.728
Pd 1.492 1.492 1.622
Pd 1.492 1.492 7.833
! space-group type	P4/mmm (123)
! N(E_F)	0.29	states/eV/atom
! crystal system	tetragonal

*Q*
! Zn3CuPd2, optimized geometry, DFT PBE; values from VASP
&SYSTEM
  ibrav = 0, nat = 12, ntyp = 3
/
ATOMIC_SPECIES
Zn 65.41 Zn.upf
Cu 63.55 Cu.upf
Pd 106.42 Pd.upf
CELL_PARAMETERS angstrom
4.289 0.000 0.000
-2.145 3.715 0.000
0.000 0.000 10.636
ATOMIC_POSITIONS angstrom
Zn 0.000 0.000 2.618
Zn 0.000 0.000 8.018
Zn 0.000 2.476 4.404
Zn 0.000 2.476 9.766
Zn 2.145 1.238 0.870
Zn 2.145 1.238 6.232
Cu 0.000 2.476 1.768
Cu 2.145 1.238 8.869
Pd 0.000 0.000 0.000
Pd 0.000 0.000 5.318
Pd 0.000 2.476 7.125
Pd 2.145 1.238 3.512
! space-group type	P-3m1 (164)
! N(E_F)	0.39	states/eV/atom
! crystal system	trigonal

Of them, *P* has the highest stability.